Material: MnRu2
Method: DFT, PBE
State: relaxed

a = 2.6814 Å, b = 13.7329 Å, c = 4.2064 Å
α = 90.00°, β = 90.00°, γ = 90.00°
Closest atoms and distances in Å follow each position.
Space group Cmcm (No. 63)
Symmetry-distinct sites (fractional):
Mn (0.0000, 0.0536, 0.2500) [4 per cell]  8 Ru 2.54-2.64, 4 Mn 2.57-2.68
Ru (0.0000, 0.2810, 0.7500) [4 per cell]  10 Ru 2.64-2.79, 2 Mn 2.64
Ru (0.0000, 0.3969, 0.2500) [4 per cell]  6 Mn 2.54-2.59, 6 Ru 2.64-2.79

Computed properties:
The total energy is -110.717 eV per cell. The value obtained for the spin magnetization is 0.0 μB per formula unit. As for the volume: 12.91 Å³/atom.